(1)
Below is a relaxed ZrSb2Au crystal, with properties calculated at the PBEsol level. Values from VASP.

The structure in Quantum ESPRESSO input format:
```
&SYSTEM
  ibrav = 0, nat = 4, ntyp = 3
/
ATOMIC_SPECIES
Au 196.97 Au.upf
Zr 91.22 Zr.upf
Sb 121.76 Sb.upf
CELL_PARAMETERS angstrom
3.6719 0.0000 0.0000
1.8359 3.1799 0.0000
1.8359 1.0600 8.0469
ATOMIC_POSITIONS angstrom
Au 1.8359 1.0600 2.0586
Zr 3.6719 2.1200 3.8867
Sb 5.5078 3.1799 0.1886
Sb 5.5078 3.1799 5.9363
```

Calculated values
V   23.5 Å³/atom
Energy relative to the elements, uncorrected   -0.16 eV/atom
N(E_F)   2.57 states/eV per cell
Symmetry   R3m (160)


(2)
Below is a relaxed Tl2SbP crystal, with properties calculated at the PBEsol level. Values from VASP.

The structure in Quantum ESPRESSO input format:
```
&SYSTEM
  ibrav = 0, nat = 4, ntyp = 3
/
ATOMIC_SPECIES
P 30.97 P.upf
Tl 204.38 Tl.upf
Sb 121.76 Sb.upf
CELL_PARAMETERS angstrom
3.6622 0.0000 0.0000
1.8311 3.1716 0.0000
1.8311 1.0572 9.0048
ATOMIC_POSITIONS angstrom
P 3.6622 2.1144 4.2707
Tl 5.4933 3.1716 6.4423
Tl 5.4933 3.1716 0.0561
Sb 1.8311 1.0572 2.7381
```

Calculated values
V   26.1 Å³/atom
Energy relative to the elements, uncorrected   0.07 eV/atom
N(E_F)   1.72 states/eV per cell
Symmetry   R3m (160)


- What is the formula in the first record?
  ZrSb2Au


- N(E_F) of number 2 (Tl2SbP)?
  1.72 states/eV per cell


What did the first record say?
Below is a relaxed ZrSb2Au crystal, with properties calculated at the PBEsol level. Values from VASP.

The structure in Quantum ESPRESSO input format:
```
&SYSTEM
  ibrav = 0, nat = 4, ntyp = 3
/
ATOMIC_SPECIES
Au 196.97 Au.upf
Zr 91.22 Zr.upf
Sb 121.76 Sb.upf
CELL_PARAMETERS angstrom
3.6719 0.0000 0.0000
1.8359 3.1799 0.0000
1.8359 1.0600 8.0469
ATOMIC_POSITIONS angstrom
Au 1.8359 1.0600 2.0586
Zr 3.6719 2.1200 3.8867
Sb 5.5078 3.1799 0.1886
Sb 5.5078 3.1799 5.9363
```

Calculated values
V   23.5 Å³/atom
Energy relative to the elements, uncorrected   -0.16 eV/atom
N(E_F)   2.57 states/eV per cell
Symmetry   R3m (160)


Please write out number 1 again, unchanged.
Below is a relaxed ZrSb2Au crystal, with properties calculated at the PBEsol level. Values from VASP.

The structure in Quantum ESPRESSO input format:
```
&SYSTEM
  ibrav = 0, nat = 4, ntyp = 3
/
ATOMIC_SPECIES
Au 196.97 Au.upf
Zr 91.22 Zr.upf
Sb 121.76 Sb.upf
CELL_PARAMETERS angstrom
3.6719 0.0000 0.0000
1.8359 3.1799 0.0000
1.8359 1.0600 8.0469
ATOMIC_POSITIONS angstrom
Au 1.8359 1.0600 2.0586
Zr 3.6719 2.1200 3.8867
Sb 5.5078 3.1799 0.1886
Sb 5.5078 3.1799 5.9363
```

Calculated values
V   23.5 Å³/atom
Energy relative to the elements, uncorrected   -0.16 eV/atom
N(E_F)   2.57 states/eV per cell
Symmetry   R3m (160)